w.
VASP calculation (PBE) on a geometry-optimized LaPrP2 structure.

The structure belongs to space group R-3m (No. 166, hexagonal axes); the cell edges are 4.2412, 4.2412 and 20.7673 Å and the angles 90.00°, 90.00° and 120.00°. The inequivalent atoms are La at (0.0000, 0.0000, 0.0000), Pr at (0.0000, 0.0000, 0.5000) and P at (0.0000, 0.0000, 0.2493).

Its total moment is 0.00 μB/f.u. The crystal system is trigonal.

=====

x.
VASP calculation (PBE) on a geometry-optimized LaPrP2 structure.

The structure belongs to space group R3m (No. 160, hexagonal axes); the cell edges are 4.1697, 4.1697 and 21.7324 Å and the angles 90.00°, 90.00° and 120.00°. The inequivalent atoms are La at (0.0000, 0.0000, 0.0000), Pr at (0.0000, 0.0000, 0.8291), P at (0.0000, 0.0000, 0.2461) and P at (0.0000, 0.0000, 0.4160).

Its total moment is 0.00 μB/f.u. The crystal system is trigonal.

=====

It is x that is the least stable of them.

=====

w.
VASP calculation (PBE) on a geometry-optimized La2PrP structure.

The structure belongs to space group R3m (No. 160, hexagonal axes); the cell edges are 4.0125, 4.0125 and 29.0768 Å and the angles 90.00°, 90.00° and 120.00°. The inequivalent atoms are La at (0.0000, 0.0000, 0.0000), La at (0.0000, 0.0000, 0.2126), Pr at (0.0000, 0.0000, 0.4399) and P at (0.0000, 0.0000, 0.6064).

Its total moment is 0.19 μB/f.u. The crystal system is trigonal.

=====

x.
VASP calculation (PBE) on a geometry-optimized La2PrP structure.

The structure belongs to space group R-3m (No. 166, hexagonal axes); the cell edges are 3.9361, 3.9361 and 31.4929 Å and the angles 90.00°, 90.00° and 120.00°. The inequivalent atoms are La at (0.0000, 0.0000, 0.1122), Pr at (0.0000, 0.0000, 0.0000) and P at (0.0000, 0.0000, 0.5000).

Its total moment is 0.00 μB/f.u. The crystal system is trigonal.

=====

It is x that is the least stable of them.

=====

w.
VASP calculation (PBE) on a geometry-optimized La2PPt2 structure.

The structure belongs to space group P2_1 (No. 4); the cell edges are 6.495, 5.981 and 6.559 Å and the angles 90.00°, 115.95° and 90.00°. The inequivalent atoms are La at (0.039, 0.000, 0.339), La at (0.451, 0.295, 0.171), P at (0.246, 0.758, 0.076), Pt at (0.018, 0.500, 0.210) and Pt at (0.396, 0.357, 0.621).

Its total moment is 0.00 μB/f.u. The crystal system is monoclinic.

=====

x.
VASP calculation (PBE) on a geometry-optimized La2PPt2 structure.

The structure belongs to space group P4/mbm (No. 127); the cell edges are 7.583, 7.583 and 4.038 Å and the angles 90.00°, 90.00° and 90.00°. The inequivalent atoms are La at (0.183, 0.317, 0.000), P at (0.000, 0.000, 0.500) and Pt at (0.127, 0.627, 0.500).

Its total moment is 0.00 μB/f.u. The crystal system is tetragonal.

=====

y.
VASP calculation (PBE) on a geometry-optimized La2PPt2 structure.

The structure belongs to space group I4/mmm (No. 139); the cell edges are 3.879, 3.879 and 15.751 Å and the angles 90.00°, 90.00° and 90.00°. The inequivalent atoms are La at (0.000, 0.000, 0.105), P at (0.000, 0.000, 0.500) and Pt at (0.000, 0.500, 0.250).

Its total moment is 0.00 μB/f.u. The crystal system is tetragonal.

=====

It is x that is the least stable of them.

=====

w.
VASP calculation (PBE) on a geometry-optimized La2PPt2 structure.

The structure belongs to space group P4/mbm (No. 127); the cell edges are 8.174, 8.174 and 3.776 Å and the angles 90.00°, 90.00° and 90.00°. The inequivalent atoms are La at (0.179, 0.321, 0.000), P at (0.000, 0.000, 0.000) and Pt at (0.120, 0.620, 0.500).

Its total moment is 0.00 μB/f.u. The crystal system is tetragonal.

=====

x.
VASP calculation (PBE) on a geometry-optimized La2PPt2 structure.

The structure belongs to space group P4/nmm (No. 129, origin choice 2); the cell edges are 5.726, 5.726 and 7.973 Å and the angles 90.00°, 90.00° and 90.00°. The inequivalent atoms are La at (0.250, 0.250, 0.094), La at (0.250, 0.750, 0.500), P at (0.250, 0.250, 0.437), Pt at (0.250, 0.250, 0.726) and Pt at (0.250, 0.750, 0.000).

Its total moment is 0.00 μB/f.u. The crystal system is tetragonal.

=====

It is w that is the least stable of them.

=====

w.
VASP calculation (PBE) on a geometry-optimized LaPPt3 structure.

The structure belongs to space group I4mm (No. 107); the cell edges are 4.103, 4.103 and 11.049 Å and the angles 90.00°, 90.00° and 90.00°. The inequivalent atoms are La at (0.000, 0.000, 0.000), P at (0.000, 0.000, 0.372), Pt at (0.000, 0.000, 0.580) and Pt at (0.000, 0.500, 0.259).

Its total moment is 0.00 μB/f.u. The crystal system is tetragonal.

=====

x.
VASP calculation (PBE) on a geometry-optimized LaPPt3 structure.

The structure belongs to space group Pm-3m (No. 221); the cell edges are 4.662, 4.662 and 4.662 Å and the angles 90.00°, 90.00° and 90.00°. The inequivalent atoms are La at (0.000, 0.000, 0.000), P at (0.500, 0.500, 0.500) and Pt at (0.000, 0.500, 0.500).

Its total moment is 0.00 μB/f.u. The crystal system is cubic.

=====

y.
VASP calculation (PBE) on a geometry-optimized LaPPt3 structure.

The structure belongs to space group Pm-3m (No. 221); the cell edges are 5.186, 5.186 and 5.186 Å and the angles 90.00°, 90.00° and 90.00°. The inequivalent atoms are La at (0.000, 0.000, 0.000), P at (0.500, 0.500, 0.500) and Pt at (0.000, 0.000, 0.500).

Its total moment is 0.00 μB/f.u. The crystal system is cubic.

=====

It is y that is the least stable of them.

=====

w.
VASP calculation (PBE) on a geometry-optimized LaP2PtS structure.

The structure belongs to space group P4/mmm (No. 123); the cell edges are 5.534, 5.534 and 5.283 Å and the angles 90.00°, 90.00° and 90.00°. The inequivalent atoms are La at (0.000, 0.000, 0.000), P at (0.000, 0.500, 0.000), Pt at (0.500, 0.500, 0.500) and S at (0.000, 0.000, 0.500).

Its total moment is 0.53 μB/f.u. The crystal system is tetragonal.

=====

x.
VASP calculation (PBE) on a geometry-optimized LaP2PtS structure.

The structure belongs to space group P4/mmm (No. 123); the cell edges are 4.647, 4.647 and 5.018 Å and the angles 90.00°, 90.00° and 90.00°. The inequivalent atoms are La at (0.000, 0.000, 0.000), P at (0.000, 0.500, 0.500), Pt at (0.500, 0.500, 0.500) and S at (0.500, 0.500, 0.000).

Its total moment is 0.00 μB/f.u. The crystal system is tetragonal.

=====

It is w that is the least stable of them.

=====

w.
VASP calculation (PBE) on a geometry-optimized LaPPtS2 structure.

The structure belongs to space group P4/mmm (No. 123); the cell edges are 4.896, 4.896 and 4.533 Å and the angles 90.00°, 90.00° and 90.00°. The inequivalent atoms are La at (0.000, 0.000, 0.000), P at (0.500, 0.500, 0.000), Pt at (0.500, 0.500, 0.500) and S at (0.000, 0.500, 0.500).

Its total moment is 0.00 μB/f.u. The crystal system is tetragonal.

=====

x.
VASP calculation (PBE) on a geometry-optimized LaPPtS2 structure.

The structure belongs to space group P4/mmm (No. 123); the cell edges are 5.394, 5.394 and 5.629 Å and the angles 90.00°, 90.00° and 90.00°. The inequivalent atoms are La at (0.000, 0.000, 0.000), P at (0.000, 0.000, 0.500), Pt at (0.500, 0.500, 0.500) and S at (0.000, 0.500, 0.000).

Its total moment is 2.53 μB/f.u. The crystal system is tetragonal.

=====

It is x that is the least stable of them.

=====

w.
VASP calculation (PBE) on a geometry-optimized La2PuP3 structure.

The structure belongs to space group I4/mmm (No. 139); the cell edges are 4.193, 4.193 and 17.759 Å and the angles 90.00°, 90.00° and 90.00°. The inequivalent atoms are La at (0.000, 0.000, 0.166), Pu at (0.000, 0.000, 0.500), P at (0.000, 0.000, 0.000) and P at (0.000, 0.000, 0.338).

Its total moment is 4.92 μB/f.u. The crystal system is tetragonal.

=====

x.
VASP calculation (PBE) on a geometry-optimized La2PuP3 structure.

The structure belongs to space group Immm (No. 71); the cell edges are 4.187, 5.917 and 12.536 Å and the angles 90.00°, 90.00° and 90.00°. The inequivalent atoms are La at (0.000, 0.000, 0.168), Pu at (0.000, 0.000, 0.500), P at (0.000, 0.500, 0.155) and P at (0.000, 0.500, 0.500).

Its total moment is 4.90 μB/f.u. The crystal system is orthorhombic.

=====

It is w that is the least stable of them.